Entry 1:
LiCo3Ag | PBE | optimized geometry

```
data_LiCo3Ag
_chemical_formula_sum 'Li1 Co3 Ag1'
_space_group_name_H-M_alt 'P 1'
_space_group_IT_number 1
_cell_length_a 4.722
_cell_length_b 4.722
_cell_length_c 4.722
_cell_angle_alpha 90.00
_cell_angle_beta 90.00
_cell_angle_gamma 90.00
loop_
_space_group_symop_operation_xyz
'x,y,z'
loop_
_atom_site_label
_atom_site_fract_x
_atom_site_fract_y
_atom_site_fract_z
Li1 0.000 0.000 0.000
Co1 0.000 0.500 0.500
Co2 0.500 0.000 0.500
Co3 0.500 0.500 0.000
Ag1 0.500 0.500 0.500
```

Entry 2:
LiCoAg | PBE | optimized geometry

```
data_LiCoAg
_chemical_formula_sum 'Li1 Co1 Ag1'
_space_group_name_H-M_alt 'P 1'
_space_group_IT_number 1
_cell_length_a 6.417
_cell_length_b 6.417
_cell_length_c 6.417
_cell_angle_alpha 156.10
_cell_angle_beta 156.10
_cell_angle_gamma 34.05
loop_
_space_group_symop_operation_xyz
'x,y,z'
loop_
_atom_site_label
_atom_site_fract_x
_atom_site_fract_y
_atom_site_fract_z
Li1 0.000 0.000 0.000
Co1 0.657 0.657 0.000
Ag1 0.325 0.325 0.000
```

Entry 3:
LiCoAg | PBE | optimized geometry

```
data_LiCoAg
_chemical_formula_sum 'Li1 Co1 Ag1'
_space_group_name_H-M_alt 'P 1'
_space_group_IT_number 1
_cell_length_a 2.702
_cell_length_b 2.702
_cell_length_c 6.841
_cell_angle_alpha 90.00
_cell_angle_beta 90.00
_cell_angle_gamma 120.00
loop_
_space_group_symop_operation_xyz
'x,y,z'
loop_
_atom_site_label
_atom_site_fract_x
_atom_site_fract_y
_atom_site_fract_z
Li1 0.000 0.000 0.000
Co1 0.667 0.333 0.689
Ag1 0.333 0.667 0.346
```

Number 1: V 105.3 Å³/f.u., energy of formation from the pure elements 7.58 eV/f.u.. Number 2: V 43.3 Å³/f.u., energy of formation from the pure elements 0.73 eV/f.u.. Number 3: V 43.2 Å³/f.u., energy of formation from the pure elements 0.68 eV/f.u..